[1]
Density functional theory data (PBE-GGA) for Rb2MgW after structural relaxation.

Cell: 6.2849 6.2849 6.2849 Å, 60.00 60.00 60.00°
Each line ends with the local moment (μB).
Element x y z (fractional)
Mg1 0.0000 0.0000 0.0000  -0.01
Rb1 0.2500 0.2500 0.2500  0.02
Rb2 0.7500 0.7500 0.7500  0.02
W1 0.5000 0.5000 0.5000  3.34

Summary:
crystal system = cubic
N(E_F) = 2.68 states/eV/f.u.
E_tot = -2.47 eV/atom
symmetry = No. 225
energy of formation from the pure elements = 1.655 eV per atom
total moment = 4.80 μB/cell


[2]
Density functional theory data (PBE-GGA) for HfNb2Zn2 after structural relaxation.

Cell: 7.8948 7.8948 2.8860 Å, 90.00 90.00 90.00°
Element x y z (fractional)
Nb1 0.3797 0.8797 0.0000
Nb2 0.8797 0.6203 0.0000
Nb3 0.6203 0.1203 0.0000
Nb4 0.1203 0.3797 0.0000
Hf1 0.0000 0.0000 0.0000
Hf2 0.5000 0.5000 0.0000
Zn1 0.1767 0.6767 0.5000
Zn2 0.6767 0.8233 0.5000
Zn3 0.8233 0.3233 0.5000
Zn4 0.3233 0.1767 0.5000

Summary:
crystal system = tetragonal
N(E_F) = 5.39 states/eV/f.u.
E_tot = -6.38 eV/atom
symmetry = No. 127
energy of formation from the pure elements = 0.148 eV per atom
total moment = 0.00 μB/cell


[3]
Density functional theory data (PBE-GGA) for NdHoZnGe after structural relaxation.

Cell: 4.2416 4.1311 5.9713 Å, 90.00 110.80 90.00°
Element x y z (fractional)
Nd1 0.1449 0.0000 0.2899
Ho1 0.8621 0.5000 0.7241
Zn1 0.5699 0.5000 0.1398
Ge1 0.4231 0.0000 0.8462

Summary:
crystal system = orthorhombic
N(E_F) = 4.04 states/eV/f.u.
E_tot = -4.40 eV/atom
symmetry = No. 38
energy of formation from the pure elements = -0.592 eV per atom
total moment = 0.02 μB/cell


[4]
Density functional theory data (PBE-GGA) for Pr3DyZn2 after structural relaxation.

Cell: 5.4477 7.4502 9.4956 Å, 113.10 106.67 90.00°
Element x y z (fractional)
Pr1 0.5000 0.2500 0.0000
Pr2 0.5000 0.7500 0.0000
Pr3 0.8199 0.0699 0.6399
Pr4 0.1801 0.4301 0.3601
Pr5 0.1801 0.9301 0.3601
Pr6 0.8199 0.5699 0.6399
Dy1 0.0000 0.5000 0.0000
Dy2 0.0000 0.0000 0.0000
Zn1 0.3435 0.3434 0.6868
Zn2 0.6567 0.1566 0.3132
Zn3 0.3433 0.8434 0.6868
Zn4 0.6565 0.6566 0.3132

Summary:
crystal system = orthorhombic
N(E_F) = 7.38 states/eV/f.u.
E_tot = -3.70 eV/atom
symmetry = No. 65
energy of formation from the pure elements = -0.121 eV per atom
total moment = 0.00 μB/cell


[5]
Density functional theory data (PBE-GGA) for AsWCl after structural relaxation.

Cell: 8.2462 7.9832 3.0409 Å, 84.12 74.36 21.52°
Element x y z (fractional)
As1 0.0399 0.0399 0.9601
W1 0.6682 0.6682 0.3318
Cl1 0.2919 0.2919 0.7081

Summary:
formation energy from raw total energies = 0.79 eV/f.u.
crystal system = orthorhombic
N(E_F) = 2.64 states/eV/f.u.
E_tot = -6.22 eV/atom
symmetry = No. 42
total moment = 0.00 μB/cell


[6]
Density functional theory data (PBE-GGA) for NiSCl3 after structural relaxation.

Cell: 4.5827 4.5827 4.5827 Å, 90.00 90.00 90.00°
Element x y z (fractional)
Ni1 0.0000 0.0000 0.0000
S1 0.5000 0.5000 0.5000
Cl1 0.0000 0.5000 0.0000
Cl2 0.0000 0.0000 0.5000
Cl3 0.5000 0.0000 0.0000

Summary:
formation energy from raw total energies = 1.61 eV/f.u.
crystal system = cubic
N(E_F) = 6.30 states/eV/f.u.
E_tot = -2.77 eV/atom
symmetry = No. 221
total moment = 0.03 μB/cell


[7]
Density functional theory data (PBE-GGA) for BaLi2PaCl8 after structural relaxation.

Cell: 6.3269 6.3269 10.1083 Å, 71.76 71.76 60.00°
Each line ends with the local moment (μB).
Element x y z (fractional)
Ba1 0.5000 0.5000 0.5000  0.00
Li1 0.2492 0.2492 0.2525  0.00
Li2 0.7508 0.7508 0.7475  0.00
Pa1 0.0000 0.0000 0.0000  1.06
Cl1 0.1698 0.1698 0.4907  0.00
Cl2 0.6229 0.2886 0.1708  -0.01
Cl3 0.8302 0.8302 0.5093  0.00
Cl4 0.9178 0.6229 0.1708  -0.01
Cl5 0.0822 0.3771 0.8292  -0.01
Cl6 0.2886 0.9178 0.1708  -0.01
Cl7 0.7114 0.0822 0.8292  -0.01
Cl8 0.3771 0.7114 0.8292  -0.01

Summary:
formation energy from raw total energies = -23.13 eV/f.u.
crystal system = trigonal
N(E_F) = 0.53 states/eV/f.u.
E_tot = -4.43 eV/atom
symmetry = No. 148
total moment = 1.01 μB/cell


[8]
Density functional theory data (PBE-GGA) for Na8TlTe6 after structural relaxation.

Cell: 9.6451 7.9745 13.6666 Å, 90.00 90.00 90.00°
Element x y z (fractional)
Na1 0.4085 0.0000 0.9391
Na2 0.5915 0.5000 0.4391
Na3 0.9234 0.7885 0.1733
Na4 0.0766 0.7115 0.6733
Na5 0.0766 0.2885 0.6733
Na6 0.9234 0.2115 0.1733
Na7 0.4494 0.7171 0.6756
Na8 0.5506 0.7829 0.1756
Na9 0.5506 0.2171 0.1756
Na10 0.4494 0.2829 0.6756
Na11 0.7613 0.7717 0.8423
Na12 0.2387 0.7283 0.3423
Na13 0.2387 0.2717 0.3423
Na14 0.7613 0.2283 0.8423
Na15 0.2590 0.0000 0.5217
Na16 0.7410 0.5000 0.0217
Tl1 0.7556 0.0000 0.4749
Tl2 0.2444 0.5000 0.9749
Te1 0.7221 0.0000 0.0231
Te2 0.2779 0.5000 0.5231
Te3 0.2605 0.0000 0.7401
Te4 0.7395 0.5000 0.2401
Te5 0.0091 0.0000 0.3625
Te6 0.9909 0.5000 0.8625
Te7 0.4947 0.0000 0.3669
Te8 0.5053 0.5000 0.8669
Te9 0.2384 0.8014 0.1127
Te10 0.7616 0.6986 0.6127
Te11 0.7616 0.3014 0.6127
Te12 0.2384 0.1986 0.1127

Summary:
formation energy from raw total energies = -10.15 eV/f.u.
crystal system = orthorhombic
N(E_F) = 5.48 states/eV/f.u.
E_tot = -2.79 eV/atom
symmetry = No. 31
total moment = 0.00 μB/cell


[9]
Density functional theory data (PBE-GGA) for Pm2GaNi2Rh5 after structural relaxation.

Cell: 3.8188 9.3067 9.3067 Å, 90.00 90.00 90.00°
Element x y z (fractional)
Pm1 0.0000 0.6753 0.1753
Pm2 0.0000 0.3247 0.8247
Pm3 0.0000 0.1753 0.3247
Pm4 0.0000 0.8247 0.6753
Ga1 0.0000 0.0000 0.0000
Ga2 0.0000 0.5000 0.5000
Ni1 0.0000 0.1232 0.6232
Ni2 0.0000 0.8768 0.3768
Ni3 0.0000 0.6232 0.8768
Ni4 0.0000 0.3768 0.1232
Rh1 0.5000 0.2042 0.0654
Rh2 0.5000 0.7958 0.9346
Rh3 0.5000 0.0654 0.7958
Rh4 0.5000 0.7042 0.4346
Rh5 0.5000 0.9346 0.2042
Rh6 0.5000 0.2958 0.5654
Rh7 0.5000 0.5654 0.7042
Rh8 0.5000 0.4346 0.2958
Rh9 0.5000 0.5000 0.0000
Rh10 0.5000 0.0000 0.5000

Summary:
crystal system = tetragonal
N(E_F) = 8.54 states/eV/f.u.
E_tot = -6.56 eV/atom
symmetry = No. 127
energy of formation from the pure elements = -0.474 eV per atom
total moment = 0.00 μB/cell


[10]
Density functional theory data (PBE-GGA) for PrSm6Zn after structural relaxation.

Cell: 8.5698 9.5045 6.3997 Å, 42.07 47.97 56.33°
Element x y z (fractional)
Pr1 0.5000 0.5000 0.5000
Sm1 0.9546 0.5780 0.7023
Sm2 0.7652 0.9547 0.8582
Sm3 0.5782 0.2349 0.2323
Sm4 0.2348 0.0453 0.1418
Sm5 0.0454 0.4220 0.2977
Sm6 0.4218 0.7651 0.7677
Zn1 0.0000 0.0000 0.0000

Summary:
crystal system = trigonal
N(E_F) = 10.04 states/eV/f.u.
E_tot = -4.26 eV/atom
symmetry = No. 148
energy of formation from the pure elements = 0.033 eV per atom
total moment = 0.00 μB/cell


[11]
Density functional theory data (PBE-GGA) for TlHg2Mo after structural relaxation.

Cell: 7.5375 7.5375 7.5375 Å, 157.81 141.58 44.81°
Each line ends with the local moment (μB).
Element x y z (fractional)
Hg1 0.0009 0.0009 0.0000  0.01
Hg2 0.6807 0.1807 0.5000  0.01
Mo1 0.5016 0.5016 0.0000  0.83
Tl1 0.3168 0.8168 0.5000  0.00

Summary:
crystal system = orthorhombic
N(E_F) = 2.69 states/eV/f.u.
E_tot = -2.89 eV/atom
symmetry = No. 44
energy of formation from the pure elements = 0.556 eV per atom
total moment = 0.98 μB/cell


[12]
Density functional theory data (PBE-GGA) for Ce5Pb6 after structural relaxation.

Cell: 4.8768 9.3461 9.2064 Å, 120.50 105.36 90.00°
Each line ends with the local moment (μB).
Element x y z (fractional)
Ce1 0.0000 0.5000 0.0000  0.98
Ce2 0.6651 0.6651 0.3301  0.92
Ce3 0.3349 0.3349 0.6699  0.92
Ce4 0.3490 0.8490 0.6981  0.87
Ce5 0.6510 0.1510 0.3019  0.87
Pb1 0.5000 0.7523 0.0000  -0.02
Pb2 0.5000 0.2477 0.0000  -0.02
Pb3 0.8323 0.0814 0.6646  -0.02
Pb4 0.8323 0.5832 0.6646  -0.02
Pb5 0.1677 0.9186 0.3354  -0.02
Pb6 0.1677 0.4168 0.3354  -0.02

Summary:
crystal system = orthorhombic
N(E_F) = 32.62 states/eV/f.u.
E_tot = -5.06 eV/atom
symmetry = No. 71
energy of formation from the pure elements = -0.342 eV per atom
total moment = 5.71 μB/cell